[1]
## RbSbAu (PBE)

Data for an optimized crystal structure of RbSbAu.

E_tot: -9.1 eV/f.u.
Theoretical density: 6.61 g cm⁻³
Formation energy from raw total energies: -235 meV/atom
Total magnetic moment: 0.000 μB/f.u.

a b c (Å): 3.9852 3.9852 6.9831
angles (deg): 106.58 106.58 90.00
Closest atoms and distances in Å follow each position.
Atoms (fractional coordinates):
Sb (0.7268, 0.7268, 0.4535)  4 Au 2.87
Au (0.2688, 0.2688, 0.5376)  4 Sb 2.87
Rb (0.0044, 0.0044, 0.0088)  1 Au 3.38, 1 Sb 3.55


[2]
## Dy5ErTm4 (PBE)

Data for an optimized crystal structure of Dy5ErTm4.

E_tot: -45.1 eV/f.u.
Theoretical density: 8.91 g cm⁻³
Total magnetic moment: 0.000 μB/f.u.

a b c (Å): 3.4920 11.1993 11.7440
angles (deg): 136.55 98.55 90.00
Closest atoms and distances in Å follow each position.
Atoms (fractional coordinates):
Dy (0.2125, 0.3069, 0.4249)  6 Dy 3.49-3.72, 5 Tm 3.53-3.67, 2 Er 3.78
Dy (0.1890, 0.8016, 0.3779)  4 Tm 3.26-3.47, 6 Dy 3.46-3.51
Dy (0.8110, 0.1984, 0.6221)  4 Tm 3.26-3.47, 6 Dy 3.46-3.51
Dy (0.5000, 0.5000, 0.0000)  6 Tm 3.30-3.58, 6 Dy 3.46-3.49
Dy (0.7875, 0.6931, 0.5751)  6 Dy 3.49-3.72, 5 Tm 3.53-3.67, 2 Er 3.78
Er (0.5000, 0.0000, 0.0000)  6 Tm 3.21-3.51, 2 Er 3.49
Tm (0.6056, 0.9156, 0.2111)  1 Er 3.21, 6 Dy 3.26-3.53, 4 Tm 3.45-3.49
Tm (0.0828, 0.3721, 0.1656)  6 Dy 3.44-3.67, 4 Tm 3.45-3.49, 2 Er 3.51
Tm (0.3945, 0.0844, 0.7889)  1 Er 3.21, 6 Dy 3.26-3.53, 4 Tm 3.45-3.49
Tm (0.9172, 0.6279, 0.8344)  6 Dy 3.44-3.67, 4 Tm 3.45-3.49, 2 Er 3.51


[3]
## Nd4AlNi (PBE)

Data for an optimized crystal structure of Nd4AlNi.

E_tot: -29.6 eV/f.u.
Theoretical density: 6.58 g cm⁻³
Total magnetic moment: 0.000 μB/f.u.

a b c (Å): 5.6475 7.1363 9.1876
angles (deg): 90.00 115.42 90.00
Closest atoms and distances in Å follow each position.
Atoms (fractional coordinates):
Nd (0.5753, 0.2500, 0.4503)  1 Ni 2.70
Nd (0.4247, 0.7500, 0.5497)  1 Ni 2.70
Nd (0.6644, 0.2500, 0.8793)  1 Ni 3.07, 2 Al 3.24-3.28
Nd (0.3356, 0.7500, 0.1207)  1 Ni 3.07, 2 Al 3.24-3.28
Nd (0.9168, 0.0109, 0.2579)  2 Ni 2.80-2.98
Nd (0.0832, 0.5109, 0.7421)  2 Ni 2.80-2.98
Nd (0.9168, 0.4891, 0.2579)  2 Ni 2.80-2.98
Nd (0.0832, 0.9891, 0.7421)  2 Ni 2.80-2.98
Al (0.3051, 0.2500, 0.0759)  5 Nd 3.11-3.34
Al (0.6949, 0.7500, 0.9241)  5 Nd 3.11-3.34
Ni (0.1877, 0.2500, 0.5489)  5 Nd 2.70-2.98
Ni (0.8123, 0.7500, 0.4511)  5 Nd 2.70-2.98